Entry from Alexandria: a geometry-optimized MnFeP2 structure (PBE-GGA).

* E_form: -0.338 eV/atom

a b c (Å): 4.100 4.100 4.467
angles (deg): 102.61 102.61 41.02
Fractional coordinates of all 4 atoms:
Mn (0.000, 0.000, 0.000)
Fe (0.239, 0.239, 0.605)
P (0.305, 0.305, 0.142)
P (0.528, 0.528, 0.614)